Record 1
# TbErMnTc PBE relaxed
# **Symmetry**: No. 216
# **DOS(E_F)**: 15.27 states/eV/cell
# **E**: -0.260 hartree per atom
data_TbErMnTc
_chemical_formula_sum 'Tb4 Er4 Mn4 Tc4'
_cell_length_a 6.941
_cell_length_b 6.941
_cell_length_c 6.941
_cell_angle_alpha 90.00
_cell_angle_beta 90.00
_cell_angle_gamma 90.00
_space_group_name_H-M_alt 'P 1'
_space_group_IT_number 1
_space_group_name_Hall 'P 1'
loop_
_atom_site_label
_atom_site_fract_x
_atom_site_fract_y
_atom_site_fract_z
Tb1 0.000 0.000 0.000
Tb2 0.000 0.500 0.500
Tb3 0.500 0.000 0.500
Tb4 0.500 0.500 0.000
Er1 0.000 0.000 0.500
Er2 0.000 0.500 0.000
Er3 0.500 0.000 0.000
Er4 0.500 0.500 0.500
Mn1 0.250 0.250 0.250
Mn2 0.250 0.750 0.750
Mn3 0.750 0.250 0.750
Mn4 0.750 0.750 0.250
Tc1 0.250 0.250 0.750
Tc2 0.250 0.750 0.250
Tc3 0.750 0.250 0.250
Tc4 0.750 0.750 0.750

---

Record 2
# LiZnCo2 PBE relaxed
# **Symmetry**: No. 122
# **DOS(E_F)**: 16.59 states/eV/cell
# **E**: -0.144 hartree per atom
data_LiZnCo2
_chemical_formula_sum 'Li4 Zn4 Co8'
_cell_length_a 6.531
_cell_length_b 6.531
_cell_length_c 4.807
_cell_angle_alpha 90.00
_cell_angle_beta 90.00
_cell_angle_gamma 90.00
_space_group_name_H-M_alt 'P 1'
_space_group_IT_number 1
_space_group_name_Hall 'P 1'
loop_
_atom_site_label
_atom_site_fract_x
_atom_site_fract_y
_atom_site_fract_z
Li1 0.000 0.000 0.000
Li2 0.000 0.500 0.250
Li3 0.500 0.000 0.750
Li4 0.500 0.500 0.500
Zn1 0.000 0.000 0.500
Zn2 0.000 0.500 0.750
Zn3 0.500 0.000 0.250
Zn4 0.500 0.500 0.000
Co1 0.245 0.250 0.125
Co2 0.250 0.745 0.375
Co3 0.250 0.755 0.875
Co4 0.255 0.250 0.625
Co5 0.745 0.750 0.625
Co6 0.750 0.245 0.875
Co7 0.750 0.255 0.375
Co8 0.755 0.750 0.125

---

Record 3
# La4Sm8Tm PBE relaxed
# **Symmetry**: No. 166
# **DOS(E_F)**: 22.23 states/eV/cell
# **E**: -0.157 hartree per atom
data_La4Sm8Tm
_chemical_formula_sum 'La4 Sm8 Tm1'
_cell_length_a 7.872
_cell_length_b 7.872
_cell_length_c 7.872
_cell_angle_alpha 90.13
_cell_angle_beta 90.13
_cell_angle_gamma 90.13
_space_group_name_H-M_alt 'P 1'
_space_group_IT_number 1
_space_group_name_Hall 'P 1'
loop_
_atom_site_label
_atom_site_fract_x
_atom_site_fract_y
_atom_site_fract_z
La1 0.000 0.000 0.000
La2 0.000 0.500 0.500
La3 0.500 0.000 0.500
La4 0.500 0.500 0.000
Sm1 0.238 0.238 0.760
Sm2 0.238 0.760 0.238
Sm3 0.239 0.239 0.239
Sm4 0.240 0.762 0.762
Sm5 0.760 0.238 0.238
Sm6 0.761 0.761 0.761
Sm7 0.762 0.240 0.762
Sm8 0.762 0.762 0.240
Tm1 0.500 0.500 0.500

---

Record 4
# CeDyC2 PBE relaxed
# **ΔE to the lowest computed polymorph**: 46 kJ/mol of formula units
# **Symmetry**: No. 160
# **DOS(E_F)**: 13.22 states/eV/cell
data_CeDyC2
_chemical_formula_sum 'Ce3 Dy3 C6'
_cell_length_a 3.602
_cell_length_b 3.602
_cell_length_c 17.925
_cell_angle_alpha 90.00
_cell_angle_beta 90.00
_cell_angle_gamma 120.00
_space_group_name_H-M_alt 'P 1'
_space_group_IT_number 1
_space_group_name_Hall 'P 1'
loop_
_atom_site_label
_atom_site_fract_x
_atom_site_fract_y
_atom_site_fract_z
Ce1 0.000 0.000 0.000
Ce2 0.333 0.667 0.667
Ce3 0.667 0.333 0.333
Dy1 0.000 0.000 0.169
Dy2 0.333 0.667 0.836
Dy3 0.667 0.333 0.503
C1 0.000 0.000 0.410
C2 0.000 0.000 0.582
C3 0.333 0.667 0.077
C4 0.333 0.667 0.249
C5 0.667 0.333 0.743
C6 0.667 0.333 0.916

---

Record 5
# ReAgPS2 PBE relaxed
# **ΔE to the lowest computed polymorph**: 288 kJ/mol of formula units
# **Symmetry**: No. 123
# **DOS(E_F)**: 4.41 states/eV/cell
# **Formation energy (no corrections)**: 1149 meV/atom
data_ReAgPS2
_chemical_formula_sum 'Re1 Ag1 P1 S2'
_cell_length_a 4.638
_cell_length_b 4.638
_cell_length_c 4.502
_cell_angle_alpha 90.00
_cell_angle_beta 90.00
_cell_angle_gamma 90.00
_space_group_name_H-M_alt 'P 1'
_space_group_IT_number 1
_space_group_name_Hall 'P 1'
loop_
_atom_site_label
_atom_site_fract_x
_atom_site_fract_y
_atom_site_fract_z
Re1 0.000 0.000 0.000
Ag1 0.500 0.500 0.000
P1 0.000 0.000 0.500
S1 0.000 0.500 0.500
S2 0.500 0.000 0.500

---

Record 6
# BeCdP2 PBE relaxed
# **ΔE to the lowest computed polymorph**: 49 kJ/mol of formula units
# **Symmetry**: No. 99
# **DOS(E_F)**: 1.03 states/eV/cell
data_BeCdP2
_chemical_formula_sum 'Be1 Cd1 P2'
_cell_length_a 3.122
_cell_length_b 3.122
_cell_length_c 6.849
_cell_angle_alpha 90.00
_cell_angle_beta 90.00
_cell_angle_gamma 90.00
_space_group_name_H-M_alt 'P 1'
_space_group_IT_number 1
_space_group_name_Hall 'P 1'
loop_
_atom_site_label
_atom_site_fract_x
_atom_site_fract_y
_atom_site_fract_z
Be1 0.000 0.000 0.000
Cd1 0.500 0.500 0.184
P1 0.000 0.000 0.691
P2 0.500 0.500 0.571